Here is an optimized crystal structure of PuSi2Au2 from Alexandria. Energies are from GGA-PBE.

energy relative to the elements, uncorrected = -0.40 eV/atom
symmetry = No. 139
total DFT energy (no corrections) = -0.4957 Ry per atom

```
data_PuSi2Au2
_symmetry_space_group_name_H-M 'P 1'
_symmetry_Int_Tables_number 1
_cell_length_a 5.992
_cell_length_b 5.992
_cell_length_c 5.992
_cell_angle_alpha 138.22
_cell_angle_beta 138.22
_cell_angle_gamma 60.57
loop_
_symmetry_equiv_pos_as_xyz
'x,y,z'
loop_
_atom_site_label
_atom_site_type_symbol
_atom_site_fract_x
_atom_site_fract_y
_atom_site_fract_z
Pu1 Pu 0.000 0.000 0.000
Si1 Si 0.389 0.389 0.000
Si2 Si 0.611 0.611 0.000
Au1 Au 0.250 0.750 0.500
Au2 Au 0.750 0.250 0.500
```